! Pm2CrBO6 | Alexandria | PBE with a Hubbard U | optimized geometry; values from VASP
! spin magnetization = 3.00 μB/f.u.
! calculated total energy = -78.76 eV/f.u.
! calculated density = 6.9 Mg/m³
&SYSTEM
  ibrav = 0, nat = 10, ntyp = 4
/
ATOMIC_SPECIES
Pm 145.00 Pm.upf
Cr 52.00 Cr.upf
B 10.81 B.upf
O 16.00 O.upf
ATOMIC_POSITIONS crystal
Pm 0.077 0.500 0.000
Pm 0.077 0.000 0.500
Cr 0.631 0.500 0.500
B 0.568 0.000 0.000
O 0.682 0.229 0.229
O 0.682 0.229 0.771
O 0.144 0.500 0.500
O 0.223 0.000 0.000
O 0.682 0.771 0.771
O 0.682 0.771 0.229
CELL_PARAMETERS angstrom
4.059 0.000 0.000
0.000 5.144 0.000
0.000 0.000 5.144